DFT (PBE) results for KTl2Co after structural relaxation.

abc: 4.699 4.728 4.793
angles: 90.00 90.00 90.00
Sites, in units of the cell vectors:
1 K 0.000 0.000 0.000
2 Tl 0.500 0.000 0.500
3 Tl 0.500 0.500 0.000
4 Co 0.000 0.500 0.500

Properties
calculated total energy = -10.39 eV/cell
E_form = 635 meV per atom
total moment = 1.5 μB/f.u.

DFT (PBE) results for LiTbMgZn after structural relaxation.

abc: 4.879 4.879 4.879
angles: 60.00 60.00 60.00
Sites, in units of the cell vectors:
1 Li 0.000 0.000 0.000
2 Tb 0.250 0.250 0.250
3 Mg 0.750 0.750 0.750
4 Zn 0.500 0.500 0.500

Properties
calculated total energy = -10.22 eV/cell
E_form = -202 meV per atom
total moment = 0.0 μB/f.u.

DFT (PBE) results for Dy4ZnAg after structural relaxation.

abc: 3.568 3.568 12.408
angles: 90.00 90.00 90.00
Sites, in units of the cell vectors:
1 Dy 0.000 0.000 0.143
2 Dy 0.000 0.000 0.857
3 Dy 0.500 0.500 0.349
4 Dy 0.500 0.500 0.651
5 Zn 0.500 0.500 0.000
6 Ag 0.000 0.000 0.500

Properties
calculated total energy = -23.69 eV/cell
E_form = -192 meV per atom
total moment = 0.9 μB/f.u.

DFT (PBE) results for Na2LiBH after structural relaxation.

abc: 5.175 5.175 4.344
angles: 90.00 90.00 90.00
Sites, in units of the cell vectors:
1 Na 0.000 0.500 0.000
2 Na 0.500 0.000 0.000
3 Li 0.000 0.000 0.500
4 B 0.000 0.000 0.000
5 H 0.500 0.500 0.500

Properties
calculated total energy = -10.36 eV/cell
total moment = 3.0 μB/f.u.

DFT (PBE) results for KMn2In after structural relaxation.

abc: 5.147 5.147 5.147
angles: 60.00 60.00 60.00
Sites, in units of the cell vectors:
1 K 0.000 0.000 0.000
2 Mn 0.500 0.500 0.500
3 Mn 0.750 0.750 0.750
4 In 0.250 0.250 0.250

Properties
calculated total energy = -18.87 eV/cell
E_form = 825 meV per atom
total moment = 8.3 μB/f.u.

DFT (PBE) results for FeCu2Ag after structural relaxation.

abc: 2.689 2.689 7.464
angles: 90.00 90.00 90.00
Sites, in units of the cell vectors:
1 Fe 0.000 0.000 0.000
2 Cu 0.500 0.500 0.229
3 Cu 0.500 0.500 0.771
4 Ag 0.000 0.000 0.500

Properties
calculated total energy = -18.83 eV/cell
E_form = 170 meV per atom
total moment = 2.6 μB/f.u.